NbPbSe2N after structural relaxation, computed with PBE.

Output
* density: 7.097 g cm⁻³
* crystal system: tetragonal
* D(E_F): 1.68 states/eV per cell
* energy relative to the elements, uncorrected: -0.271 eV per atom
* total DFT energy (no corrections): -6.085 eV/atom
* size of the total moment: 0.0 μB per cell

Cell lengths 5.288, 5.288, 3.950 Å; angles 90.00, 90.00, 90.00 degrees
Positions (direct):
Nb1 0.000 0.000 0.000
Pb1 0.500 0.500 0.500
Se1 0.000 0.500 0.000
Se2 0.500 0.000 0.000
N1 0.000 0.000 0.500